Compound: Pr5Dy4Er
Source: Alexandria via LeMat-Bulk
Functional: PBE-GGA
Structure: relaxed

abc: 3.6265 9.5680 10.2685
angles: 74.25 89.95 79.14
Closest atoms and distances in Å follow each position.
Space group P-1 (No. 2)
Asymmetric unit:
Pr (0.0000, 0.0000, 0.0000) [1 per cell]  8 Pr 3.62-3.66, 4 Dy 3.67
Pr (0.2002, 0.5995, 0.1004) [2 per cell]  5 Dy 3.60-3.67, 7 Pr 3.62-3.68
Pr (0.4005, 0.1990, 0.6940) [2 per cell]  4 Dy 3.57-3.63, 2 Er 3.58, 6 Pr 3.63-3.68
Dy (0.1989, 0.6013, 0.5998) [2 per cell]  5 Pr 3.57-3.63, 6 Dy 3.58-3.64, 1 Er 3.60
Dy (0.4000, 0.2007, 0.2056) [2 per cell]  4 Dy 3.58-3.63, 2 Er 3.58, 6 Pr 3.60-3.67
Er (0.0000, 0.0000, 0.5000) [1 per cell]  4 Pr 3.58, 6 Dy 3.58-3.60, 2 Er 3.63

Computed properties:
The calculation puts the final energy at -4.668 eV per atom. The value obtained for the formation energy is 0.19 eV/f.u.